Computed, not measured: crystalline Be8Co2Ni at its relaxed geometry at the PBE-GGA level of DFT.

Geometry as CIF:
```
data_Be8Co2Ni
_cell_length_a 3.580
_cell_length_b 5.468
_cell_length_c 9.756
_cell_angle_alpha 90.00
_cell_angle_beta 90.00
_cell_angle_gamma 90.00
_symmetry_space_group_name_H-M 'I m m m'
_symmetry_Int_Tables_number 71
_symmetry_space_group_name_Hall '-I 2 2'
loop_
_atom_site_label
_atom_site_fract_x
_atom_site_fract_y
_atom_site_fract_z
Be1 0.000 0.000 0.151
Be2 0.000 0.196 0.361
Be3 0.000 0.308 0.000
Co1 0.000 0.500 0.209
Ni1 0.000 0.500 0.500
```

Summary:
- DFT formation energy (meV per atom) = -199
- calculated volume (Å³/atom) = 8.68

Computed, not measured: crystalline Pa3Ga2Fe6 at its relaxed geometry at the PBE-GGA level of DFT.

Geometry as CIF:
```
data_Pa3Ga2Fe6
_cell_length_a 8.792
_cell_length_b 8.792
_cell_length_c 8.792
_cell_angle_alpha 90.00
_cell_angle_beta 90.00
_cell_angle_gamma 90.00
_symmetry_space_group_name_H-M 'I m -3 m'
_symmetry_Int_Tables_number 229
_symmetry_space_group_name_Hall '-I 4 2 3'
loop_
_atom_site_label
_atom_site_fract_x
_atom_site_fract_y
_atom_site_fract_z
Pa1 0.000 0.000 0.291
Ga1 0.250 0.250 0.250
Fe1 0.000 0.352 0.352
```

Summary:
- DFT formation energy (meV per atom) = -268
- calculated volume (Å³/atom) = 15.45

Computed, not measured: crystalline Nd2YScO6 at its relaxed geometry at the PBE-GGA level of DFT.

Geometry as CIF:
```
data_Nd2YScO6
_cell_length_a 5.716
_cell_length_b 5.968
_cell_length_c 10.069
_cell_angle_alpha 90.00
_cell_angle_beta 124.15
_cell_angle_gamma 90.00
_symmetry_space_group_name_H-M 'P 1 21/c 1'
_symmetry_Int_Tables_number 14
_symmetry_space_group_name_Hall '-P 2ybc'
loop_
_atom_site_label
_atom_site_fract_x
_atom_site_fract_y
_atom_site_fract_z
Nd1 0.231 0.056 0.251
Y1 0.500 0.000 0.000
Sc1 0.000 0.000 0.500
O1 0.116 0.204 0.930
O2 0.230 0.690 0.934
O3 0.369 0.057 0.741
```

Summary:
- formation energy (no corrections) (kJ per mole of atoms) = -331
- calculated volume (Å³/atom) = 14.21

Computed, not measured: crystalline PmSnAs2 at its relaxed geometry at the PBE-GGA level of DFT.

Geometry as CIF:
```
data_PmSnAs2
_cell_length_a 3.935
_cell_length_b 3.935
_cell_length_c 6.256
_cell_angle_alpha 90.00
_cell_angle_beta 90.00
_cell_angle_gamma 90.00
_symmetry_space_group_name_H-M 'P 4/m m m'
_symmetry_Int_Tables_number 123
_symmetry_space_group_name_Hall '-P 4 2'
loop_
_atom_site_label
_atom_site_fract_x
_atom_site_fract_y
_atom_site_fract_z
Pm1 0.000 0.000 0.000
Sn1 0.000 0.000 0.500
As1 0.500 0.500 0.222
```

Summary:
- excess energy over the best structure of this formula in the dataset (meV/atom) = 39
- DFT formation energy (meV per atom) = -574
- calculated volume (Å³/atom) = 24.21

Computed, not measured: crystalline SrCo2P at its relaxed geometry at the PBE-GGA level of DFT.

Geometry as CIF:
```
data_SrCo2P
_cell_length_a 4.657
_cell_length_b 4.657
_cell_length_c 14.979
_cell_angle_alpha 90.00
_cell_angle_beta 90.00
_cell_angle_gamma 90.00
_symmetry_space_group_name_H-M 'I 41/a m d'
_symmetry_Int_Tables_number 141
loop_
_symmetry_equiv_pos_as_xyz
'x,y,z'
'-x,-y,-z'
'-y+1/4,x+3/4,z+1/4'
'y+1/4,-x+3/4,-z+1/4'
'-x+1/2,-y,z+1/2'
'x+1/2,y,-z+1/2'
'y+1/4,-x+1/4,z+3/4'
'-y+1/4,x+1/4,-z+3/4'
'x,-y,-z'
'-x,y,z'
'-y+1/4,-x+1/4,-z+3/4'
'y+1/4,x+1/4,z+3/4'
'-x+1/2,y,-z+1/2'
'x+1/2,-y,z+1/2'
'y+1/4,x+3/4,-z+1/4'
'-y+1/4,-x+3/4,z+1/4'
'x+1/2,y+1/2,z+1/2'
'-x+1/2,-y+1/2,-z+1/2'
'-y+3/4,x+1/4,z+3/4'
'y+3/4,-x+1/4,-z+3/4'
'-x,-y+1/2,z'
'x,y+1/2,-z'
'y+3/4,-x+3/4,z+1/4'
'-y+3/4,x+3/4,-z+1/4'
'x+1/2,-y+1/2,-z+1/2'
'-x+1/2,y+1/2,z+1/2'
'-y+3/4,-x+3/4,-z+1/4'
'y+3/4,x+3/4,z+1/4'
'-x,y+1/2,-z'
'x,-y+1/2,z'
'y+3/4,x+1/4,-z+3/4'
'-y+3/4,-x+1/4,z+3/4'
loop_
_atom_site_label
_atom_site_fract_x
_atom_site_fract_y
_atom_site_fract_z
Sr1 0.000 0.250 0.375
Co1 0.000 0.000 0.000
P1 0.000 0.250 0.875
```

Summary:
- DFT formation energy (meV per atom) = -263
- calculated volume (Å³/atom) = 20.30

Computed, not measured: crystalline Cu2TePd6 at its relaxed geometry at the PBE-GGA level of DFT.

Geometry as CIF:
```
data_Cu2TePd6
_cell_length_a 9.882
_cell_length_b 9.738
_cell_length_c 6.110
_cell_angle_alpha 90.00
_cell_angle_beta 98.96
_cell_angle_gamma 90.00
_symmetry_space_group_name_H-M 'C 1 2/c 1'
_symmetry_Int_Tables_number 15
_symmetry_space_group_name_Hall '-C 2yc'
loop_
_atom_site_label
_atom_site_fract_x
_atom_site_fract_y
_atom_site_fract_z
Cu1 0.170 0.047 0.335
Te1 0.000 0.347 0.250
Pd1 0.032 0.147 0.979
Pd2 0.127 0.427 0.901
Pd3 0.236 0.200 0.709
```

Summary:
- formation energy (no corrections) (kJ per mole of atoms) = -8
- excess energy over the best structure of this formula in the dataset (meV/atom) = 20
- calculated volume (Å³/atom) = 16.13

Computed, not measured: crystalline Zn2SiHg2 at its relaxed geometry at the PBE-GGA level of DFT.

Geometry as CIF:
```
data_Zn2SiHg2
_cell_length_a 6.681
_cell_length_b 6.681
_cell_length_c 4.486
_cell_angle_alpha 90.00
_cell_angle_beta 90.00
_cell_angle_gamma 90.00
_symmetry_space_group_name_H-M 'P 4/m b m'
_symmetry_Int_Tables_number 127
_symmetry_space_group_name_Hall '-P 4 2ab'
loop_
_atom_site_label
_atom_site_fract_x
_atom_site_fract_y
_atom_site_fract_z
Zn1 0.140 0.360 0.000
Si1 0.000 0.000 0.000
Hg1 0.173 0.673 0.500
```

Summary:
- formation energy (no corrections) (kJ per mole of atoms) = 28
- excess energy over the best structure of this formula in the dataset (meV/atom) = 0
- calculated volume (Å³/atom) = 20.02

Computed, not measured: crystalline La6SmSe8 at its relaxed geometry at the PBE-GGA level of DFT.

Geometry as CIF:
```
data_La6SmSe8
_cell_length_a 12.151
_cell_length_b 12.151
_cell_length_c 12.151
_cell_angle_alpha 90.00
_cell_angle_beta 90.00
_cell_angle_gamma 90.00
_symmetry_space_group_name_H-M 'F m -3 m'
_symmetry_Int_Tables_number 225
_symmetry_space_group_name_Hall '-F 4 2 3'
loop_
_atom_site_label
_atom_site_fract_x
_atom_site_fract_y
_atom_site_fract_z
La1 0.000 0.250 0.250
Sm1 0.000 0.000 0.000
Se1 0.000 0.000 0.246
Se2 0.250 0.250 0.250
```

Summary:
- formation energy (no corrections) (kJ per mole of atoms) = -193
- calculated volume (Å³/atom) = 29.90

Computed, not measured: crystalline LaRh2W at its relaxed geometry at the PBE-GGA level of DFT.

Geometry as CIF:
```
data_LaRh2W
_cell_length_a 2.992
_cell_length_b 4.824
_cell_length_c 5.190
_cell_angle_alpha 90.00
_cell_angle_beta 100.51
_cell_angle_gamma 90.00
_symmetry_space_group_name_H-M 'P 1 m 1'
_symmetry_Int_Tables_number 6
_symmetry_space_group_name_Hall 'P -2y'
loop_
_atom_site_label
_atom_site_fract_x
_atom_site_fract_y
_atom_site_fract_z
La1 0.000 0.000 0.000
Rh1 0.539 0.500 0.113
Rh2 0.627 0.000 0.493
W1 0.225 0.500 0.580
```

Summary:
- excess energy over the best structure of this formula in the dataset (meV/atom) = 160
- DFT formation energy (meV per atom) = -35
- calculated volume (Å³/atom) = 18.41

Computed, not measured: crystalline Pm4Er3ScS8 at its relaxed geometry at the PBE-GGA level of DFT.

Geometry as CIF:
```
data_Pm4Er3ScS8
_cell_length_a 7.7875
_cell_length_b 7.7875
_cell_length_c 19.6335
_cell_angle_alpha 90.00
_cell_angle_beta 90.00
_cell_angle_gamma 120.00
_symmetry_space_group_name_H-M 'R -3 m'
_symmetry_Int_Tables_number 166
_symmetry_space_group_name_Hall '-R 3 2"'
loop_
_atom_site_label
_atom_site_fract_x
_atom_site_fract_y
_atom_site_fract_z
Pm1 0.0000 0.0000 0.0000
Pm2 0.0000 0.5000 0.0000
Er1 0.0000 0.5000 0.5000
Sc1 0.0000 0.0000 0.5000
S1 0.0000 0.0000 0.2443
S2 0.0058 0.5029 0.2430
```

Summary:
- formation energy (no corrections) (kJ per mole of atoms) = -191
- calculated volume (Å³/atom) = 21.48

Computed, not measured: crystalline Pm2Ho5Ga4 at its relaxed geometry at the PBE-GGA level of DFT.

Geometry as CIF:
```
data_Pm2Ho5Ga4
_cell_length_a 24.888
_cell_length_b 3.446
_cell_length_c 7.176
_cell_angle_alpha 90.00
_cell_angle_beta 92.74
_cell_angle_gamma 90.00
_symmetry_space_group_name_H-M 'C 1 2/m 1'
_symmetry_Int_Tables_number 12
_symmetry_space_group_name_Hall '-C 2y'
loop_
_atom_site_label
_atom_site_fract_x
_atom_site_fract_y
_atom_site_fract_z
Pm1 0.097 0.000 0.207
Ho1 0.000 0.500 0.500
Ho2 0.135 0.000 0.688
Ho3 0.238 0.000 0.286
Ga1 0.026 0.000 0.847
Ga2 0.181 0.500 0.995
```

Summary:
- DFT formation energy (meV per atom) = -171
- calculated volume (Å³/atom) = 27.95

Computed, not measured: crystalline GdTmPa4 at its relaxed geometry at the PBE-GGA level of DFT.

Geometry as CIF:
```
data_GdTmPa4
_cell_length_a 8.686
_cell_length_b 8.686
_cell_length_c 8.686
_cell_angle_alpha 90.00
_cell_angle_beta 90.00
_cell_angle_gamma 90.00
_symmetry_space_group_name_H-M 'F -4 3 m'
_symmetry_Int_Tables_number 216
_symmetry_space_group_name_Hall 'F -4 2 3'
loop_
_atom_site_label
_atom_site_fract_x
_atom_site_fract_y
_atom_site_fract_z
Gd1 0.000 0.000 0.000
Tm1 0.250 0.250 0.750
Pa1 0.125 0.125 0.375
```

Summary:
- DFT formation energy (meV per atom) = 228
- calculated volume (Å³/atom) = 27.31